# 1
{
  "formula": "CuReSb2",
  "functional": "PBE",
  "state": "relaxed",
  "de_polymorph_ev_per_atom": 0.268,
  "e_form_raw_ev_per_atom": 0.590,
  "sg": "No. 47",
  "lattice": [[-2.203, -4.018, 0.996], [4.120, -2.179, 0.321], [0.135, 0.735, 3.260]],
  "species": ["Cu", "Re", "Sb", "Sb"],
  "fractional_positions": [[0.500, 0.000, 0.500], [0.000, 0.500, 0.500], [0.000, 0.000, 0.000], [0.500, 0.500, 0.000]]
}

# 2
{
  "formula": "KTaAl3",
  "functional": "PBE",
  "state": "relaxed",
  "formation_energy_ev_per_atom": 2.200,
  "de_polymorph_ev_per_atom": 1.666,
  "sg": "No. 221",
  "lattice": [[4.895, 0.000, 0.000], [0.000, 4.895, 0.000], [0.000, 0.000, 4.895]],
  "species": ["K", "Al", "Al", "Al", "Ta"],
  "fractional_positions": [[0.000, 0.000, 0.000], [0.000, 0.500, 0.000], [0.000, 0.000, 0.500], [0.500, 0.000, 0.000], [0.500, 0.500, 0.500]]
}

# 3
{
  "formula": "Ba12La3H5",
  "functional": "PBE",
  "state": "relaxed",
  "sg": "No. 230",
  "lattice": [[-8.533, 4.912, 13.044], [8.128, -13.700, 3.651], [10.623, 11.664, -4.269]],
  "species": ["La", "La", "La", "La", "La", "La", "La", "La", "La", "La", "La", "La", "H", "H", "H", "H", "H", "H", "H", "H", "H", "H", "H", "H", "H", "H", "H", "H", "H", "H", "H", "H", "Ba", "Ba", "Ba", "Ba", "Ba", "Ba", "Ba", "Ba", "Ba", "Ba", "Ba", "Ba", "Ba", "Ba", "Ba", "Ba", "Ba", "Ba", "Ba", "Ba", "Ba", "Ba", "Ba", "Ba", "Ba", "Ba", "Ba", "Ba", "Ba", "Ba", "Ba", "Ba", "Ba", "Ba", "Ba", "Ba", "Ba", "Ba", "Ba", "Ba", "Ba", "Ba", "Ba", "Ba", "Ba", "Ba", "Ba", "Ba"],
  "fractional_positions": [[0.750, 0.375, 0.125], [0.875, 0.750, 0.125], [0.375, 0.750, 0.625], [0.250, 0.125, 0.375], [0.875, 0.125, 0.250], [0.375, 0.625, 0.250], [0.625, 0.375, 0.750], [0.125, 0.875, 0.750], [0.750, 0.875, 0.625], [0.625, 0.250, 0.375], [0.125, 0.250, 0.875], [0.250, 0.625, 0.875], [0.125, 0.375, 0.250], [0.000, 0.500, 0.000], [0.000, 0.000, 0.000], [0.375, 0.250, 0.125], [0.500, 0.000, 0.500], [0.500, 0.500, 0.000], [0.125, 0.750, 0.375], [0.750, 0.125, 0.875], [0.750, 0.625, 0.375], [0.375, 0.125, 0.750], [0.625, 0.875, 0.250], [0.500, 0.500, 0.500], [0.500, 0.000, 0.000], [0.000, 0.000, 0.500], [0.250, 0.375, 0.625], [0.250, 0.875, 0.125], [0.000, 0.500, 0.500], [0.875, 0.250, 0.625], [0.625, 0.750, 0.875], [0.875, 0.625, 0.750], [0.695, 0.105, 0.003], [0.309, 0.503, 0.398], [0.997, 0.395, 0.305], [0.503, 0.195, 0.105], [0.589, 0.695, 0.691], [0.997, 0.602, 0.191], [0.309, 0.805, 0.411], [0.102, 0.911, 0.105], [0.602, 0.997, 0.691], [0.695, 0.589, 0.191], [0.805, 0.497, 0.395], [0.809, 0.898, 0.003], [0.105, 0.695, 0.503], [0.395, 0.398, 0.089], [0.089, 0.898, 0.395], [0.411, 0.105, 0.602], [0.089, 0.191, 0.195], [0.497, 0.691, 0.102], [0.809, 0.911, 0.305], [0.105, 0.411, 0.102], [0.395, 0.997, 0.805], [0.602, 0.605, 0.411], [0.898, 0.809, 0.503], [0.805, 0.309, 0.911], [0.398, 0.395, 0.589], [0.102, 0.191, 0.497], [0.195, 0.691, 0.089], [0.191, 0.089, 0.695], [0.605, 0.003, 0.195], [0.895, 0.589, 0.898], [0.503, 0.309, 0.898], [0.589, 0.895, 0.398], [0.911, 0.809, 0.805], [0.911, 0.102, 0.605], [0.895, 0.305, 0.497], [0.191, 0.102, 0.997], [0.605, 0.602, 0.911], [0.398, 0.003, 0.309], [0.305, 0.411, 0.809], [0.195, 0.503, 0.605], [0.898, 0.089, 0.895], [0.691, 0.195, 0.589], [0.497, 0.805, 0.895], [0.003, 0.398, 0.809], [0.411, 0.305, 0.309], [0.003, 0.605, 0.695], [0.691, 0.497, 0.602], [0.305, 0.895, 0.997]]
}

# 4
{
  "formula": "Pm6TlS4",
  "functional": "PBE",
  "state": "relaxed",
  "e_form_raw_ev_per_atom": -1.573,
  "sg": "No. 63",
  "lattice": [[4.061, 0.000, 0.000], [-2.030, 6.780, 0.000], [0.000, 0.000, 20.768]],
  "species": ["Pm", "Pm", "Pm", "Pm", "Pm", "Pm", "Pm", "Pm", "Pm", "Pm", "Pm", "Pm", "Tl", "Tl", "S", "S", "S", "S", "S", "S", "S", "S"],
  "fractional_positions": [[0.500, 0.000, 0.000], [0.500, 0.000, 0.500], [0.038, 0.076, 0.344], [0.962, 0.924, 0.656], [0.962, 0.924, 0.844], [0.038, 0.076, 0.156], [0.772, 0.543, 0.418], [0.228, 0.457, 0.582], [0.228, 0.457, 0.918], [0.772, 0.543, 0.082], [0.342, 0.684, 0.250], [0.658, 0.316, 0.750], [0.660, 0.321, 0.250], [0.340, 0.679, 0.750], [0.863, 0.726, 0.540], [0.404, 0.809, 0.122], [0.137, 0.274, 0.460], [0.596, 0.191, 0.878], [0.863, 0.726, 0.960], [0.137, 0.274, 0.040], [0.596, 0.191, 0.622], [0.404, 0.809, 0.378]]
}

# 5
{
  "formula": "PaCdGa",
  "functional": "PBE",
  "state": "relaxed",
  "formation_energy_ev_per_atom": -0.003,
  "sg": "No. 107",
  "lattice": [[3.027, 0.000, 0.000], [0.000, 3.027, 0.000], [-1.513, -1.513, 7.085]],
  "species": ["Pa", "Ga", "Cd"],
  "fractional_positions": [[0.008, 0.008, 0.016], [0.668, 0.668, 0.335], [0.324, 0.324, 0.648]]
}

# 6
{
  "formula": "K3Tl7Sn2",
  "functional": "PBE",
  "state": "relaxed",
  "formation_energy_ev_per_atom": -0.040,
  "sg": "No. 2",
  "lattice": [[4.855, -0.843, 0.676], [-0.694, 6.413, -1.496], [1.496, -4.045, 15.020]],
  "species": ["K", "K", "K", "Tl", "Tl", "Tl", "Tl", "Tl", "Tl", "Tl", "Sn", "Sn"],
  "fractional_positions": [[0.500, 0.500, 0.000], [0.399, 0.623, 0.415], [0.601, 0.377, 0.585], [0.010, 0.473, 0.790], [0.881, 0.953, 0.602], [0.000, 0.000, 0.000], [0.990, 0.527, 0.210], [0.363, 0.121, 0.166], [0.637, 0.879, 0.834], [0.119, 0.047, 0.398], [0.289, 0.020, 0.740], [0.711, 0.980, 0.260]]
}

# 7
{
  "formula": "PrNd2Th",
  "functional": "PBE",
  "state": "relaxed",
  "formation_energy_ev_per_atom": 0.086,
  "de_polymorph_ev_per_atom": 0.062,
  "sg": "No. 63",
  "lattice": [[5.557, 0.000, 0.000], [0.000, 3.563, 0.000], [0.000, -1.782, 14.196]],
  "species": ["Pr", "Pr", "Nd", "Nd", "Nd", "Nd", "Th", "Th"],
  "fractional_positions": [[0.250, 0.218, 0.436], [0.750, 0.782, 0.564], [0.750, 0.654, 0.308], [0.250, 0.346, 0.692], [0.750, 0.911, 0.822], [0.250, 0.089, 0.178], [0.250, 0.472, 0.944], [0.750, 0.528, 0.056]]
}

# 8
{
  "formula": "BeRe2Sb",
  "functional": "PBE",
  "state": "relaxed",
  "de_polymorph_ev_per_atom": 0.264,
  "e_form_raw_ev_per_atom": 0.440,
  "sg": "No. 123",
  "lattice": [[-1.529, -2.249, 1.429], [-1.265, -0.837, -2.672], [4.812, -3.935, -1.045]],
  "species": ["Re", "Re", "Sb", "Be"],
  "fractional_positions": [[0.000, 0.000, 0.949], [0.000, 0.000, 0.551], [0.500, 0.500, 0.250], [0.500, 0.500, 0.750]]
}

# 9
{
  "formula": "KTlFe2I8",
  "functional": "PBE",
  "state": "relaxed",
  "e_form_raw_ev_per_atom": -0.457,
  "sg": "No. 164",
  "lattice": [[-3.330, -7.425, -2.574], [2.431, 1.000, 8.120], [-9.490, 3.417, 2.421]],
  "species": ["K", "Tl", "Fe", "Fe", "I", "I", "I", "I", "I", "I", "I", "I"],
  "fractional_positions": [[0.000, 0.000, 0.500], [0.000, 0.000, 0.000], [0.667, 0.333, 0.322], [0.333, 0.667, 0.678], [0.831, 0.169, 0.239], [0.831, 0.662, 0.239], [0.338, 0.169, 0.239], [0.662, 0.831, 0.761], [0.333, 0.667, 0.436], [0.667, 0.333, 0.564], [0.169, 0.831, 0.761], [0.169, 0.338, 0.761]]
}

# 10
{
  "formula": "In3Re",
  "functional": "PBE",
  "state": "relaxed",
  "formation_energy_ev_per_atom": 0.507,
  "de_polymorph_ev_per_atom": 0.221,
  "sg": "No. 123",
  "lattice": [[3.711, 0.000, 0.000], [0.000, 3.692, 0.319], [0.000, 3.182, 6.221]],
  "species": ["In", "In", "In", "Re"],
  "fractional_positions": [[0.000, 0.984, 0.016], [0.500, 0.750, 0.750], [0.000, 0.516, 0.484], [0.500, 0.250, 0.250]]
}

# 11
{
  "formula": "InRe2Hg",
  "functional": "PBE",
  "state": "relaxed",
  "formation_energy_ev_per_atom": 0.846,
  "de_polymorph_ev_per_atom": 0.550,
  "sg": "No. 47",
  "lattice": [[-0.748, 1.110, -2.651], [0.517, -4.432, -2.002], [-4.697, -0.964, 0.922]],
  "species": ["Hg", "In", "Re", "Re"],
  "fractional_positions": [[0.500, 0.000, 0.500], [0.000, 0.500, 0.500], [0.000, 0.000, 0.000], [0.500, 0.500, 0.000]]
}

# 12
{
  "formula": "MgZrTe2",
  "functional": "PBE",
  "state": "relaxed",
  "e_form_raw_ev_per_atom": -0.436,
  "sg": "No. 71",
  "lattice": [[-0.631, -2.835, -4.485], [-4.092, -3.018, 1.642], [0.569, 5.292, -0.470]],
  "species": ["Mg", "Te", "Te", "Zr"],
  "fractional_positions": [[0.250, 0.750, 0.500], [0.023, 0.023, 0.000], [0.477, 0.477, 0.000], [0.750, 0.250, 0.500]]
}

# 13
{
  "formula": "MnSe3",
  "functional": "PBE",
  "state": "relaxed",
  "e_form_raw_ev_per_atom": 0.094,
  "sg": "No. 65",
  "lattice": [[-1.184, -1.521, -2.183], [2.688, 0.655, -0.909], [3.639, -8.981, 4.285]],
  "species": ["Mn", "Se", "Se", "Se"],
  "fractional_positions": [[0.000, 0.000, 0.000], [0.500, 0.500, 0.831], [0.000, 0.000, 0.500], [0.500, 0.500, 0.169]]
}

# 14
{
  "formula": "Ce3CoC3",
  "functional": "PBE",
  "state": "relaxed",
  "formation_energy_ev_per_atom": -0.165,
  "sg": "No. 63",
  "lattice": [[-4.620, 1.334, -2.101], [2.273, -1.582, -6.003], [-2.535, -5.808, 1.886]],
  "species": ["Ce", "Ce", "Ce", "Ce", "Ce", "Ce", "Co", "Co", "C", "C", "C", "C", "C", "C"],
  "fractional_positions": [[0.750, 0.580, 0.829], [0.750, 0.114, 0.886], [0.750, 0.171, 0.420], [0.250, 0.420, 0.171], [0.250, 0.886, 0.114], [0.250, 0.829, 0.580], [0.250, 0.304, 0.697], [0.750, 0.696, 0.303], [0.250, 0.574, 0.843], [0.250, 0.121, 0.880], [0.250, 0.157, 0.426], [0.750, 0.426, 0.157], [0.750, 0.879, 0.120], [0.750, 0.843, 0.574]]
}

# 15
{
  "formula": "Cs4PmU3Se8",
  "functional": "PBE",
  "state": "relaxed",
  "e_form_raw_ev_per_atom": -1.326,
  "sg": "No. 166",
  "lattice": [[8.599, 0.000, 0.000], [0.000, 9.753, 0.813], [-4.300, -4.296, 6.081]],
  "species": ["Cs", "Cs", "Cs", "Cs", "Pm", "U", "U", "U", "Se", "Se", "Se", "Se", "Se", "Se", "Se", "Se"],
  "fractional_positions": [[0.500, 0.000, 0.000], [0.500, 0.000, 0.500], [0.000, 0.000, 0.000], [0.000, 0.000, 0.500], [0.000, 0.500, 0.000], [0.500, 0.500, 0.000], [0.500, 0.500, 0.500], [0.000, 0.500, 0.500], [0.232, 0.689, 0.957], [0.232, 0.689, 0.464], [0.271, 0.314, 0.542], [0.725, 0.689, 0.957], [0.275, 0.311, 0.043], [0.729, 0.686, 0.458], [0.768, 0.311, 0.536], [0.768, 0.311, 0.043]]
}

# 16
{
  "formula": "Er3In5H12",
  "functional": "PBE",
  "state": "relaxed",
  "sg": "No. 230",
  "lattice": [[-7.732, 7.881, -1.068], [-3.962, -8.239, 6.282], [9.025, 4.301, 4.804]],
  "species": ["Er", "Er", "Er", "Er", "Er", "Er", "Er", "Er", "Er", "Er", "Er", "Er", "In", "In", "In", "In", "In", "In", "In", "In", "In", "In", "In", "In", "In", "In", "In", "In", "In", "In", "In", "In", "H", "H", "H", "H", "H", "H", "H", "H", "H", "H", "H", "H", "H", "H", "H", "H", "H", "H", "H", "H", "H", "H", "H", "H", "H", "H", "H", "H", "H", "H", "H", "H", "H", "H", "H", "H", "H", "H", "H", "H", "H", "H", "H", "H", "H", "H", "H", "H"],
  "fractional_positions": [[0.750, 0.375, 0.125], [0.875, 0.750, 0.125], [0.375, 0.750, 0.625], [0.250, 0.125, 0.375], [0.875, 0.125, 0.250], [0.375, 0.625, 0.250], [0.625, 0.375, 0.750], [0.125, 0.875, 0.750], [0.750, 0.875, 0.625], [0.625, 0.250, 0.375], [0.125, 0.250, 0.875], [0.250, 0.625, 0.875], [0.125, 0.375, 0.250], [0.000, 0.500, 0.000], [0.000, 0.000, 0.000], [0.375, 0.250, 0.125], [0.500, 0.000, 0.500], [0.500, 0.500, 0.000], [0.125, 0.750, 0.375], [0.750, 0.125, 0.875], [0.750, 0.625, 0.375], [0.375, 0.125, 0.750], [0.625, 0.875, 0.250], [0.500, 0.500, 0.500], [0.500, 0.000, 0.000], [0.000, 0.000, 0.500], [0.250, 0.375, 0.625], [0.250, 0.875, 0.125], [0.000, 0.500, 0.500], [0.875, 0.250, 0.625], [0.625, 0.750, 0.875], [0.875, 0.625, 0.750], [0.743, 0.161, 0.086], [0.343, 0.586, 0.425], [0.914, 0.339, 0.257], [0.586, 0.243, 0.161], [0.582, 0.743, 0.657], [0.914, 0.575, 0.157], [0.343, 0.757, 0.418], [0.075, 0.918, 0.161], [0.575, 0.914, 0.657], [0.743, 0.582, 0.157], [0.757, 0.414, 0.339], [0.843, 0.925, 0.086], [0.161, 0.743, 0.586], [0.339, 0.425, 0.082], [0.082, 0.925, 0.339], [0.418, 0.161, 0.575], [0.082, 0.157, 0.243], [0.414, 0.657, 0.075], [0.843, 0.918, 0.257], [0.161, 0.418, 0.075], [0.339, 0.914, 0.757], [0.575, 0.661, 0.418], [0.925, 0.843, 0.586], [0.757, 0.343, 0.918], [0.425, 0.339, 0.582], [0.075, 0.157, 0.414], [0.243, 0.657, 0.082], [0.157, 0.082, 0.743], [0.661, 0.086, 0.243], [0.839, 0.582, 0.925], [0.586, 0.343, 0.925], [0.582, 0.839, 0.425], [0.918, 0.843, 0.757], [0.918, 0.075, 0.661], [0.839, 0.257, 0.414], [0.157, 0.075, 0.914], [0.661, 0.575, 0.918], [0.425, 0.086, 0.343], [0.257, 0.418, 0.843], [0.243, 0.586, 0.661], [0.925, 0.082, 0.839], [0.657, 0.243, 0.582], [0.414, 0.757, 0.839], [0.086, 0.425, 0.843], [0.418, 0.257, 0.343], [0.086, 0.661, 0.743], [0.657, 0.414, 0.575], [0.257, 0.839, 0.914]]
}

# 17
{
  "formula": "Ce8Ge3Te4S",
  "functional": "PBE",
  "state": "relaxed",
  "e_form_raw_ev_per_atom": -1.236,
  "sg": "No. 166",
  "lattice": [[-2.130, 5.338, -6.434], [5.356, -4.370, -5.399], [-6.153, -4.290, 4.261]],
  "species": ["Ce", "Ce", "Ce", "Ce", "Ce", "Ce", "Ce", "Ce", "Ge", "Ge", "Ge", "Te", "Te", "Te", "Te", "S"],
  "fractional_positions": [[0.239, 0.723, 0.984], [0.239, 0.723, 0.479], [0.258, 0.273, 0.515], [0.745, 0.723, 0.984], [0.255, 0.277, 0.016], [0.742, 0.727, 0.485], [0.761, 0.277, 0.521], [0.761, 0.277, 0.016], [0.500, 0.500, 0.000], [0.500, 0.500, 0.500], [0.000, 0.500, 0.500], [0.500, 0.000, 0.000], [0.500, 0.000, 0.500], [0.000, 0.000, 0.000], [0.000, 0.000, 0.500], [0.000, 0.500, 0.000]]
}

Calculated total energy (eV for the cell shown)
-22.43 -13.18 -215.21 -129.37 -13.45 -28.34 -42.78 -30.99 -38.27 -18.64 -24.55 -18.17 -19.25 -107.46 -91.12 -264.70 -97.80